Zr2Be12Cu5 | PBE | optimized geometry

```
Zr2Be12Cu5
1.0
3.920 2.263 3.809
-3.920 2.263 3.809
0.000 -4.526 3.809
Zr Be Cu
2 12 5
direct
0.155 0.155 0.155 Zr
0.845 0.845 0.845 Zr
0.155 0.155 0.665 Be
0.155 0.665 0.155 Be
0.207 0.500 0.793 Be
0.207 0.793 0.500 Be
0.335 0.845 0.845 Be
0.500 0.207 0.793 Be
0.500 0.793 0.207 Be
0.665 0.155 0.155 Be
0.793 0.207 0.500 Be
0.793 0.500 0.207 Be
0.845 0.335 0.845 Be
0.845 0.845 0.335 Be
0.000 0.500 0.500 Cu
0.399 0.399 0.399 Cu
0.500 0.000 0.500 Cu
0.500 0.500 0.000 Cu
0.601 0.601 0.601 Cu
```

Computed properties:
Uncorrected energy in eV/atom: -4.5001
Formation energy in eV per atom: -0.169
Volume in Å³/f.u.: 203
Space group: R-3m
Crystal system: trigonal